VASP calculation (PBE-GGA) on a relaxed structure of BeAgW3.

The structure in extended XYZ format:
```
5
Lattice="4.259 0.000 0.000 0.000 4.259 0.000 0.000 0.000 4.259" Properties=species:S:1:pos:R:3 pbc="T T T"
Be 0.000 0.000 0.000
Ag 2.129 2.129 2.129
W 0.000 0.000 2.129
W 0.000 2.129 0.000
W 2.129 0.000 0.000
```

Calculated values
SG   Pm-3m, No. 221
Energy   -8.11 eV per atom
Relative energy among the computed polymorphs   0.00 eV/f.u.
Magnetic moment   0.00 μB/f.u.
D(E_F)   0.78 states/eV/atom
Formation energy   4.86 eV per formula unit